--- P ---
CuPtCl2: optimized geometry, PBE.

Values from the calculation:
* space group: No. 6

a = 3.4632 Å, b = 3.4901 Å, c = 7.2257 Å
α = 84.41°, β = 90.00°, γ = 90.00°
With the nearest neighbours (Å) after each atom.
Positions (direct):
1 Pt 0.5000 0.9240 0.6912  3 Cl 2.36-2.52, 2 Cu 2.63
2 Cu 0.0000 0.4882 0.5342  2 Cl 2.36, 2 Pt 2.63
3 Cl 0.5000 0.2345 0.3615  2 Cu 2.36, 1 Pt 2.52
4 Cl 0.0000 0.8533 0.9131  2 Pt 2.36



--- Q ---
CuPtCl2: optimized geometry, PBE.

Values from the calculation:
* space group: No. 35

a = 3.4325 Å, b = 3.4325 Å, c = 8.0150 Å
α = 90.00°, β = 90.00°, γ = 117.51°
With the nearest neighbours (Å) after each atom.
Positions (direct):
1 Pt 0.5000 0.5000 0.7262  2 Cl 2.38, 2 Cu 2.48
2 Cu 0.0000 0.0000 0.5099  2 Cl 2.24, 2 Pt 2.48
3 Cl 0.5000 0.5000 0.3407  2 Cu 2.24
4 Cl 0.0000 0.0000 0.9232  2 Pt 2.38



--- R ---
CuPtCl2: optimized geometry, PBE.

Values from the calculation:
* space group: No. 8

a = 7.5261 Å, b = 7.5261 Å, c = 3.6606 Å
α = 76.93°, β = 76.93°, γ = 24.78°
With the nearest neighbours (Å) after each atom.
Positions (direct):
1 Cl 0.2620 0.2620 0.2292  4 Pt 2.48
2 Cl 0.9958 0.9958 0.0122  4 Cu 2.52-2.54
3 Pt 0.7930 0.7930 0.7003  4 Cl 2.48, 2 Cu 2.76
4 Cu 0.4492 0.4492 0.5583  4 Cl 2.52-2.54, 2 Pt 2.76



--- S ---
CuPtCl2: optimized geometry, PBE.

Values from the calculation:
* space group: No. 12

a = 6.8350 Å, b = 6.8350 Å, c = 4.4872 Å
α = 85.64°, β = 85.64°, γ = 26.51°
With the nearest neighbours (Å) after each atom.
Positions (direct):
1 Cl 0.6152 0.6152 0.4631  1 Pt 2.29, 2 Cu 2.51
2 Cl 0.8848 0.8848 0.0369  1 Pt 2.29, 2 Cu 2.51
3 Pt 0.7500 0.7500 0.7500  2 Cl 2.29
4 Cu 0.2500 0.2500 0.2500  4 Cl 2.51, 4 Pt 2.74



Energy ordering: S at the bottom, the next structure 4.8 kJ/mol of atoms above.



--- P ---
CuPtS2Cl: optimized geometry, PBE.

Values from the calculation:
* space group: No. 123

a = 4.6924 Å, b = 4.6924 Å, c = 4.9391 Å
α = 90.00°, β = 90.00°, γ = 90.00°
With the nearest neighbours (Å) after each atom.
Positions (direct):
1 S 0.0000 0.5000 0.0000  2 Pt 2.35
2 S 0.5000 0.0000 0.0000  2 Pt 2.35
3 Cl 0.0000 0.0000 0.5000  2 Pt 2.47
4 Pt 0.0000 0.0000 0.0000  4 S 2.35, 2 Cl 2.47
5 Cu 0.5000 0.5000 0.5000  4 Cl 3.32, 8 S 3.41



--- Q ---
CuPtS2Cl: optimized geometry, PBE.

Values from the calculation:
* space group: No. 123

a = 4.6247 Å, b = 4.6247 Å, c = 4.3443 Å
α = 90.00°, β = 90.00°, γ = 90.00°
With the nearest neighbours (Å) after each atom.
Positions (direct):
1 S 0.5000 0.0000 0.0000  2 Cu 2.31
2 S 0.0000 0.5000 0.0000  2 Cu 2.31
3 Pt 0.5000 0.5000 0.5000  8 S 3.17, 4 Cl 3.27
4 Cl 0.0000 0.0000 0.5000  2 Cu 2.17
5 Cu 0.0000 0.0000 0.0000  2 Cl 2.17, 4 S 2.31



Energy ordering: P at the bottom, the next structure 22.0 kJ/mol of atoms above.



--- P ---
PuCuCl6: optimized geometry, PBE.

Values from the calculation:
* space group: No. 148

a = 6.4612 Å, b = 6.4622 Å, c = 6.9067 Å
α = 62.09°, β = 62.08°, γ = 60.00°
With the nearest neighbours (Å) after each atom.
Positions (direct):
1 Cl 0.8801 0.6085 0.2563  1 Cu 2.47, 1 Pu 2.57
2 Cl 0.3914 0.7451 0.7438  1 Cu 2.47, 1 Pu 2.57
3 Cl 0.6086 0.2549 0.2562  1 Cu 2.47, 1 Pu 2.57
4 Cl 0.7451 0.1198 0.7438  1 Cu 2.47, 1 Pu 2.57
5 Cl 0.2549 0.8802 0.2562  1 Cu 2.47, 1 Pu 2.57
6 Cl 0.1199 0.3915 0.7437  1 Cu 2.47, 1 Pu 2.57
7 Cu 0.5000 0.5000 0.5000  6 Cl 2.47
8 Pu 0.0000 0.0000 0.0000  6 Cl 2.57



--- Q ---
PuCuCl6: optimized geometry, PBE.

Values from the calculation:
* space group: No. 12

a = 6.6559 Å, b = 6.8629 Å, c = 6.8629 Å
α = 122.05°, β = 101.40°, γ = 101.40°
With the nearest neighbours (Å) after each atom.
Positions (direct):
1 Cl 0.7749 0.2234 0.2234  1 Pu 2.50
2 Cl 0.2762 0.1362 0.4192  1 Cu 2.34
3 Cl 0.7238 0.5808 0.8638  1 Cu 2.34
4 Cl 0.7238 0.8638 0.5808  1 Cu 2.34
5 Cl 0.2251 0.7766 0.7766  1 Pu 2.50
6 Cl 0.2762 0.4192 0.1362  1 Cu 2.34
7 Cu 0.5000 0.5000 0.5000  4 Cl 2.34
8 Pu 0.0000 0.0000 0.0000  6 Cl 2.50-2.63



Energy ordering: Q at the bottom, the next structure 3.2 kJ/mol of atoms above.



--- P ---
PuCu2Cl6: optimized geometry, PBE.

Values from the calculation:
* space group: No. 15

a = 6.7863 Å, b = 8.9396 Å, c = 8.9396 Å
α = 80.78°, β = 83.94°, γ = 83.94°
With the nearest neighbours (Å) after each atom.
Positions (direct):
1 Cl 0.1011 0.4677 0.2868  2 Cu 2.18-2.22
2 Cl 0.3917 0.0397 0.1770  2 Pu 2.69-2.71
3 Cl 0.6357 0.6225 0.1347  1 Cu 2.27
4 Cl 0.8643 0.8653 0.3775  1 Cu 2.27
5 Cl 0.1083 0.8230 0.9603  2 Pu 2.69-2.71
6 Cl 0.8989 0.5323 0.7132  2 Cu 2.18-2.22
7 Cl 0.3989 0.7132 0.5323  2 Cu 2.18-2.22
8 Cl 0.6083 0.9603 0.8230  2 Pu 2.69-2.71
9 Cl 0.3643 0.3775 0.8653  1 Cu 2.27
10 Cl 0.8917 0.1770 0.0397  2 Pu 2.69-2.71
11 Cl 0.1357 0.1347 0.6225  1 Cu 2.27
12 Cl 0.6011 0.2868 0.4677  2 Cu 2.18-2.22
13 Cu 0.7262 0.6789 0.5453  3 Cl 2.18-2.27
14 Cu 0.7738 0.4547 0.3211  3 Cl 2.18-2.27
15 Cu 0.2738 0.3211 0.4547  3 Cl 2.18-2.27
16 Cu 0.2262 0.5453 0.6789  3 Cl 2.18-2.27
17 Pu 0.2500 0.1008 0.8992  6 Cl 2.63-2.71
18 Pu 0.7500 0.8992 0.1008  6 Cl 2.63-2.71



--- Q ---
PuCu2Cl6: optimized geometry, PBE.

Values from the calculation:
* space group: No. 14

a = 6.4206 Å, b = 7.6436 Å, c = 11.9290 Å
α = 90.00°, β = 97.73°, γ = 90.00°
With the nearest neighbours (Å) after each atom.
Positions (direct):
1 Cl 0.7324 0.2509 0.4300  1 Cu 2.24
2 Cl 0.7630 0.2643 0.1080  1 Cu 2.20
3 Cl 0.2630 0.2357 0.6080  1 Cu 2.20
4 Cl 0.7370 0.7643 0.3920  1 Cu 2.20
5 Cl 0.2024 0.0284 0.3217  1 Cu 2.24
6 Cl 0.7976 0.9716 0.6783  1 Cu 2.24
7 Cl 0.2370 0.7357 0.8920  1 Cu 2.20
8 Cl 0.2676 0.7491 0.5700  1 Cu 2.24
9 Cl 0.2976 0.5284 0.1783  1 Cu 2.24
10 Cl 0.2324 0.2491 0.9300  1 Cu 2.24
11 Cl 0.7676 0.7509 0.0700  1 Cu 2.24
12 Cl 0.7024 0.4716 0.8217  1 Cu 2.24
13 Pu 0.0000 0.0000 0.5000  6 Cl 2.63-2.68
14 Pu 0.5000 0.5000 0.0000  6 Cl 2.63-2.68
15 Cu 0.5726 0.1456 0.5710  3 Cl 2.20-2.24
16 Cu 0.4274 0.8544 0.4290  3 Cl 2.20-2.24
17 Cu 0.0726 0.3544 0.0710  3 Cl 2.20-2.24
18 Cu 0.9274 0.6456 0.9290  3 Cl 2.20-2.24



Energy ordering: Q at the bottom, the next structure 3.6 kJ/mol of atoms above.



--- P ---
RbCuCl2: optimized geometry, PBE.

Values from the calculation:
* space group: No. 166

a = 5.2006 Å, b = 5.2006 Å, c = 7.7490 Å
α = 70.39°, β = 70.39°, γ = 60.00°
With the nearest neighbours (Å) after each atom.
Positions (direct):
1 Cl 0.0981 0.0981 0.7056  1 Cu 2.10
2 Cl 0.9019 0.9019 0.2944  1 Cu 2.10
3 Rb 0.5000 0.5000 0.5000  6 Cl 3.34
4 Cu 0.0000 0.0000 0.0000  2 Cl 2.10



--- Q ---
RbCuCl2: optimized geometry, PBE.

Values from the calculation:
* space group: No. 225

a = 5.1646 Å, b = 5.1646 Å, c = 5.1646 Å
α = 60.00°, β = 60.00°, γ = 60.00°
With the nearest neighbours (Å) after each atom.
Positions (direct):
1 Rb 0.5000 0.5000 0.5000  8 Cl 3.16
2 Cl 0.7500 0.7500 0.7500  4 Rb 3.16, 4 Cu 3.16
3 Cl 0.2500 0.2500 0.2500  4 Rb 3.16, 4 Cu 3.16
4 Cu 0.0000 0.0000 0.0000  8 Cl 3.16



Energy ordering: P at the bottom, the next structure 50.1 kJ/mol of atoms above.



--- P ---
Rb2Cu3Cl8: optimized geometry, PBE.

Values from the calculation:
* space group: No. 12

a = 6.5922 Å, b = 8.3383 Å, c = 8.5278 Å
α = 119.27°, β = 109.46°, γ = 90.00°
With the nearest neighbours (Å) after each atom.
Positions (direct):
1 Cu 0.5000 0.0000 0.0000  2 Cl 2.21
2 Cu 0.0000 0.6853 0.0000  4 Cl 2.22-2.33
3 Cu 0.0000 0.3147 0.0000  4 Cl 2.22-2.33
4 Cl 0.3376 0.2915 0.1469  1 Cu 2.22
5 Cl 0.7857 0.1403 0.2806  1 Cu 2.21
6 Cl 0.9967 0.6170 0.2340  2 Cu 2.33
7 Cl 0.2143 0.8597 0.7194  1 Cu 2.21
8 Cl 0.6624 0.7085 0.8531  1 Cu 2.22
9 Cl 0.6624 0.1446 0.8531  1 Cu 2.22
10 Cl 0.3376 0.8554 0.1469  1 Cu 2.22
11 Cl 0.0033 0.3830 0.7660  2 Cu 2.33
12 Rb 0.6482 0.7318 0.4637  6 Cl 3.35-3.48
13 Rb 0.3518 0.2682 0.5363  6 Cl 3.35-3.48



--- Q ---
Rb2Cu3Cl8: optimized geometry, PBE.

Values from the calculation:
* space group: No. 123

a = 4.7415 Å, b = 4.7415 Å, c = 14.5761 Å
α = 90.00°, β = 90.00°, γ = 90.00°
With the nearest neighbours (Å) after each atom.
Positions (direct):
1 Rb 0.0000 0.0000 0.8168  12 Cl 3.36-3.57
2 Rb 0.0000 0.0000 0.1832  12 Cl 3.36-3.57
3 Cu 0.5000 0.5000 0.6611  5 Cl 2.38-2.50
4 Cu 0.5000 0.5000 0.3389  5 Cl 2.38-2.50
5 Cu 0.5000 0.5000 0.0000  6 Cl 2.37-2.44
6 Cl 0.5000 0.0000 0.3538  2 Cu 2.38
7 Cl 0.5000 0.0000 0.0000  2 Cu 2.37
8 Cl 0.5000 0.0000 0.6462  2 Cu 2.38
9 Cl 0.0000 0.5000 0.0000  2 Cu 2.37
10 Cl 0.0000 0.5000 0.6462  2 Cu 2.38
11 Cl 0.5000 0.5000 0.8326  2 Cu 2.44-2.50
12 Cl 0.5000 0.5000 0.1674  2 Cu 2.44-2.50
13 Cl 0.0000 0.5000 0.3538  2 Cu 2.38



Energy ordering: P at the bottom, the next structure 1.2 kJ/mol of atoms above.



--- P ---
Rb2CuCl7: optimized geometry, PBE.

Values from the calculation:
* space group: No. 139

a = 7.6676 Å, b = 7.6676 Å, c = 7.0760 Å
α = 57.19°, β = 57.19°, γ = 90.00°
With the nearest neighbours (Å) after each atom.
Positions (direct):
1 Cl 0.7884 0.2116 0.0000  1 Cu 2.29
2 Cl 0.7884 0.7884 0.0000  1 Cu 2.29
3 Cl 0.2576 0.2576 0.4848  1 Cl 2.20, 1 Cu 2.34
4 Cl 0.2116 0.7884 0.0000  1 Cu 2.29
5 Cl 0.7424 0.7424 0.5152  1 Cl 2.20, 1 Cu 2.34
6 Cl 0.5000 0.5000 0.0000  2 Cl 2.20
7 Cl 0.2116 0.2116 0.0000  1 Cu 2.29
8 Rb 0.2500 0.7500 0.5000  12 Cl 3.56-3.83
9 Rb 0.7500 0.2500 0.5000  12 Cl 3.56-3.83
10 Cu 0.0000 0.0000 0.0000  6 Cl 2.29-2.34



--- Q ---
Rb2CuCl7: optimized geometry, PBE.

Values from the calculation:
* space group: No. 139

a = 7.5004 Å, b = 7.5004 Å, c = 7.5009 Å
α = 120.03°, β = 120.03°, γ = 90.00°
With the nearest neighbours (Å) after each atom.
Positions (direct):
1 Cl 0.2931 0.7069 0.0000  1 Cu 2.19
2 Cl 0.2931 0.2931 0.9999  1 Cu 2.19
3 Cl 0.0000 0.0000 0.0000  2 Cl 2.30
4 Cl 0.2168 0.2168 0.4337  1 Cl 2.30
5 Cl 0.7069 0.7069 0.0001  1 Cu 2.19
6 Cl 0.7069 0.2931 0.0000  1 Cu 2.19
7 Cl 0.7832 0.7832 0.5663  1 Cl 2.30
8 Rb 0.7500 0.2500 0.5000  12 Cl 3.77-3.78
9 Rb 0.2500 0.7500 0.5000  12 Cl 3.77-3.78
10 Cu 0.5000 0.5000 0.0000  4 Cl 2.19



Energy ordering: Q at the bottom, the next structure 8.1 kJ/mol of atoms above.



--- P ---
RbCu2Cl6: optimized geometry, PBE.

Values from the calculation:
* space group: No. 12

a = 5.1275 Å, b = 7.8877 Å, c = 9.4963 Å
α = 120.33°, β = 90.00°, γ = 108.97°
With the nearest neighbours (Å) after each atom.
Positions (direct):
1 Cl 0.9150 0.8300 0.8990  1 Cl 2.22, 1 Cu 2.37
2 Cl 0.0850 0.1700 0.1010  1 Cl 2.22, 1 Cu 2.37
3 Cl 0.2306 0.4612 0.8842  1 Cu 2.24
4 Cl 0.3335 0.6669 0.4078  1 Cu 2.17
5 Cl 0.6665 0.3331 0.5922  1 Cu 2.17
6 Cl 0.7694 0.5389 0.1158  1 Cu 2.24
7 Cu 0.7444 0.4888 0.8611  3 Cl 2.17-2.37
8 Cu 0.2556 0.5112 0.1389  3 Cl 2.17-2.37
9 Rb 0.0000 0.0000 0.5000  6 Cl 3.34-3.43



--- Q ---
RbCu2Cl6: optimized geometry, PBE.

Values from the calculation:
* space group: No. 146

a = 6.7873 Å, b = 6.7873 Å, c = 8.6984 Å
α = 67.04°, β = 67.04°, γ = 60.00°
With the nearest neighbours (Å) after each atom.
Positions (direct):
1 Cu 0.7604 0.7604 0.7189  3 Cl 2.13
2 Cu 0.5749 0.5749 0.2754  3 Cl 2.13
3 Cl 0.6579 0.8450 0.2640  1 Cu 2.13
4 Cl 0.4147 0.0323 0.7356  1 Cu 2.13
5 Cl 0.2330 0.6579 0.2640  1 Cu 2.13
6 Cl 0.8450 0.2330 0.2640  1 Cu 2.13
7 Cl 0.0323 0.8174 0.7356  1 Cu 2.13
8 Cl 0.8174 0.4147 0.7356  1 Cu 2.13
9 Rb 0.3300 0.3300 0.0100  6 Cl 3.39-3.41



Energy ordering: P at the bottom, the next structure 6.7 kJ/mol of atoms above.